1:
A relaxed La4In2Rh crystal. Source: Alexandria, functional GGA-PBE.

Properties
N(E_F) = 10.0 states/eV/cell

```
data_La4In2Rh
_symmetry_space_group_name_H-M 'I 4/m m m'
_symmetry_Int_Tables_number 139
_symmetry_space_group_name_Hall '-I 4 2'
_cell_length_a 5.423
_cell_length_b 5.423
_cell_length_c 16.502
_cell_angle_alpha 90.00
_cell_angle_beta 90.00
_cell_angle_gamma 90.00
loop_
_atom_site_label
_atom_site_fract_x
_atom_site_fract_y
_atom_site_fract_z
La1 0.000 0.000 0.181
La2 0.000 0.500 0.000
In1 0.000 0.000 0.372
Rh1 0.000 0.000 0.000
```

2:
A relaxed La4In2Rh crystal. Source: Alexandria, functional GGA-PBE.

Properties
N(E_F) = 15.6 states/eV/cell

```
data_La4In2Rh
_symmetry_space_group_name_H-M 'C m m m'
_symmetry_Int_Tables_number 65
_symmetry_space_group_name_Hall '-C 2 2'
_cell_length_a 8.647
_cell_length_b 9.321
_cell_length_c 4.998
_cell_angle_alpha 90.00
_cell_angle_beta 90.00
_cell_angle_gamma 90.00
loop_
_atom_site_label
_atom_site_fract_x
_atom_site_fract_y
_atom_site_fract_z
La1 0.171 0.000 0.000
La2 0.250 0.250 0.500
In1 0.000 0.331 0.000
Rh1 0.000 0.500 0.500
```

Going by the energies, 1 is most stable and the next is 54 meV per atom up.

1:
A relaxed La6InRh2 crystal. Source: Alexandria, functional GGA-PBE.

Properties
N(E_F) = 17.0 states/eV/cell

```
data_La6InRh2
_symmetry_space_group_name_H-M 'C 1 2/m 1'
_symmetry_Int_Tables_number 12
_symmetry_space_group_name_Hall '-C 2y'
_cell_length_a 11.219
_cell_length_b 5.082
_cell_length_c 9.382
_cell_angle_alpha 90.00
_cell_angle_beta 95.29
_cell_angle_gamma 90.00
loop_
_atom_site_label
_atom_site_fract_x
_atom_site_fract_y
_atom_site_fract_z
La1 0.088 0.000 0.360
La2 0.106 0.500 0.674
La3 0.198 0.500 0.107
In1 0.000 0.000 0.000
Rh1 0.243 0.500 0.386
```

2:
A relaxed La6InRh2 crystal. Source: Alexandria, functional GGA-PBE.

Properties
N(E_F) = 16.1 states/eV/cell

```
data_La6InRh2
_symmetry_space_group_name_H-M 'C 1 2/m 1'
_symmetry_Int_Tables_number 12
_symmetry_space_group_name_Hall '-C 2y'
_cell_length_a 11.929
_cell_length_b 5.686
_cell_length_c 9.671
_cell_angle_alpha 90.00
_cell_angle_beta 125.91
_cell_angle_gamma 90.00
loop_
_atom_site_label
_atom_site_fract_x
_atom_site_fract_y
_atom_site_fract_z
La1 0.025 0.000 0.172
La2 0.129 0.500 0.461
La3 0.201 0.500 0.093
In1 0.000 0.000 0.500
Rh1 0.191 0.500 0.788
```

Going by the energies, 1 is most stable and the next is 64 meV per atom up.

1:
A relaxed La2ZnInRh crystal. Source: Alexandria, functional GGA-PBE.

Properties
N(E_F) = 3.1 states/eV/cell

```
data_La2ZnInRh
_symmetry_space_group_name_H-M 'P 4/m m m'
_symmetry_Int_Tables_number 123
_symmetry_space_group_name_Hall '-P 4 2'
_cell_length_a 5.454
_cell_length_b 5.454
_cell_length_c 4.912
_cell_angle_alpha 90.00
_cell_angle_beta 90.00
_cell_angle_gamma 90.00
loop_
_atom_site_label
_atom_site_fract_x
_atom_site_fract_y
_atom_site_fract_z
La1 0.000 0.500 0.000
Zn1 0.000 0.000 0.500
In1 0.500 0.500 0.500
Rh1 0.000 0.000 0.000
```

2:
A relaxed La2ZnInRh crystal. Source: Alexandria, functional GGA-PBE.

Properties
N(E_F) = 6.1 states/eV/cell

```
data_La2ZnInRh
_symmetry_space_group_name_H-M 'P 1 21/m 1'
_symmetry_Int_Tables_number 11
_symmetry_space_group_name_Hall '-P 2yb'
_cell_length_a 7.296
_cell_length_b 4.596
_cell_length_c 8.052
_cell_angle_alpha 90.00
_cell_angle_beta 107.29
_cell_angle_gamma 90.00
loop_
_atom_site_label
_atom_site_fract_x
_atom_site_fract_y
_atom_site_fract_z
La1 0.141 0.250 0.340
La2 0.277 0.250 0.946
Zn1 0.447 0.750 0.324
In1 0.333 0.750 0.650
Rh1 0.121 0.750 0.086
```

Going by the energies, 2 is most stable and the next is 129 meV per atom up.

1:
A relaxed La2In2Ru crystal. Source: Alexandria, functional GGA-PBE.

Properties
N(E_F) = 17.1 states/eV/cell

```
data_La2In2Ru
_symmetry_space_group_name_H-M 'P 4/m b m'
_symmetry_Int_Tables_number 127
_symmetry_space_group_name_Hall '-P 4 2ab'
_cell_length_a 7.356
_cell_length_b 7.356
_cell_length_c 4.946
_cell_angle_alpha 90.00
_cell_angle_beta 90.00
_cell_angle_gamma 90.00
loop_
_atom_site_label
_atom_site_fract_x
_atom_site_fract_y
_atom_site_fract_z
La1 0.167 0.333 0.000
In1 0.144 0.644 0.500
Ru1 0.000 0.000 0.500
```

2:
A relaxed La2In2Ru crystal. Source: Alexandria, functional GGA-PBE.

Properties
N(E_F) = 10.5 states/eV/cell

```
data_La2In2Ru
_symmetry_space_group_name_H-M 'I 4/m m m'
_symmetry_Int_Tables_number 139
_symmetry_space_group_name_Hall '-I 4 2'
_cell_length_a 4.154
_cell_length_b 4.154
_cell_length_c 15.402
_cell_angle_alpha 90.00
_cell_angle_beta 90.00
_cell_angle_gamma 90.00
loop_
_atom_site_label
_atom_site_fract_x
_atom_site_fract_y
_atom_site_fract_z
La1 0.000 0.500 0.250
In1 0.000 0.000 0.085
Ru1 0.000 0.000 0.500
```

Going by the energies, 1 is most stable and the next is 710 meV per atom up.

1:
A relaxed La7In2Ru2 crystal. Source: Alexandria, functional GGA-PBE.

Properties
N(E_F) = 23.2 states/eV/cell

```
data_La7In2Ru2
_symmetry_space_group_name_H-M 'I m m 2'
_symmetry_Int_Tables_number 44
_symmetry_space_group_name_Hall 'I 2 -2'
_cell_length_a 4.166
_cell_length_b 15.588
_cell_length_c 10.471
_cell_angle_alpha 90.00
_cell_angle_beta 90.00
_cell_angle_gamma 90.00
loop_
_atom_site_label
_atom_site_fract_x
_atom_site_fract_y
_atom_site_fract_z
La1 0.000 0.000 0.000
La2 0.000 0.096 0.591
La3 0.000 0.332 0.343
La4 0.000 0.381 0.786
In1 0.000 0.229 0.065
Ru1 0.000 0.000 0.334
Ru2 0.000 0.500 0.291
```

2:
A relaxed La7In2Ru2 crystal. Source: Alexandria, functional GGA-PBE.

Properties
N(E_F) = 22.7 states/eV/cell

```
data_La7In2Ru2
_symmetry_space_group_name_H-M 'C m m m'
_symmetry_Int_Tables_number 65
_symmetry_space_group_name_Hall '-C 2 2'
_cell_length_a 8.392
_cell_length_b 11.644
_cell_length_c 7.272
_cell_angle_alpha 90.00
_cell_angle_beta 90.00
_cell_angle_gamma 90.00
loop_
_atom_site_label
_atom_site_fract_x
_atom_site_fract_y
_atom_site_fract_z
La1 0.000 0.000 0.000
La2 0.000 0.500 0.246
La3 0.250 0.250 0.251
In1 0.169 0.000 0.500
Ru1 0.000 0.294 0.000
```

Going by the energies, 1 is most stable and the next is 9 meV per atom up.